(1)
Entry from OQMD via LeMat-Bulk: a geometry-optimized Ag2SeO structure (PBE).

Unit cell a=5.446 b=5.721 c=10.958 alpha=90.00 beta=92.00 gamma=90.00
Sites, in units of the cell vectors:
Ag (0.002, 0.307, 0.026)
Ag (0.487, 0.326, 0.869)
Ag (0.513, 0.826, 0.131)
Ag (0.997, 0.359, 0.649)
Ag (0.621, 0.096, 0.500)
Ag (0.003, 0.859, 0.351)
Ag (0.998, 0.807, 0.974)
Ag (0.379, 0.596, 0.500)
Se (0.700, 0.053, 0.724)
Se (0.300, 0.553, 0.276)
Se (0.672, 0.143, 0.277)
Se (0.328, 0.643, 0.723)
O (0.735, 0.055, 0.003)
O (0.265, 0.555, 0.997)
O (0.745, 0.561, 0.009)
O (0.255, 0.061, 0.991)

Results
Calculated total energy = -3.3801 eV/atom
Volume = 21.325 Å³/atom

=====

(2)
Entry from OQMD via LeMat-Bulk: a geometry-optimized NdPO4 structure (PBE).

Unit cell a=4.747 b=4.747 c=7.626 alpha=90.00 beta=90.00 gamma=110.84
Sites, in units of the cell vectors:
Nd (0.000, 0.000, 0.000)
Nd (0.000, 0.000, 0.500)
O (0.293, 0.707, 0.424)
O (0.743, 0.732, 0.250)
O (0.293, 0.707, 0.076)
O (0.268, 0.257, 0.250)
O (0.257, 0.268, 0.750)
O (0.732, 0.743, 0.750)
O (0.707, 0.293, 0.924)
O (0.707, 0.293, 0.576)
P (0.608, 0.392, 0.750)
P (0.392, 0.608, 0.250)

Results
Calculated total energy = -7.8810 eV/atom
Volume = 13.384 Å³/atom

=====

(3)
Entry from OQMD via LeMat-Bulk: a geometry-optimized Co3C2 structure (PBE).

Unit cell a=4.963 b=4.963 c=4.984 alpha=119.86 beta=60.14 gamma=120.00
Sites, in units of the cell vectors:
Co (0.942, 0.442, 0.250)
Co (0.250, 0.058, 0.250)
Co (0.058, 0.558, 0.750)
Co (0.558, 0.750, 0.250)
Co (0.750, 0.942, 0.750)
Co (0.442, 0.250, 0.750)
C (0.146, 0.854, 0.561)
C (0.354, 0.646, 0.939)
C (0.646, 0.354, 0.061)
C (0.854, 0.146, 0.439)

Results
Calculated total energy = -7.7482 eV/atom
Volume = 8.698 Å³/atom

=====

(4)
Entry from OQMD via LeMat-Bulk: a geometry-optimized Pt structure (PBE).

Unit cell a=2.757 b=3.881 c=32.828 alpha=90.00 beta=90.00 gamma=90.00
Sites, in units of the cell vectors:
Pt (0.500, 0.500, 0.741)
Pt (0.000, 0.000, 0.522)
Pt (0.000, 0.000, 0.173)
Pt (0.500, 0.500, 0.302)
Pt (0.500, 0.500, 0.827)
Pt (0.000, 0.000, 0.434)
Pt (0.500, 0.500, 0.654)
Pt (0.500, 0.500, 0.478)
Pt (0.000, 0.000, 0.788)
Pt (0.000, 0.000, 0.259)
Pt (0.500, 0.500, 0.390)
Pt (0.500, 0.500, 0.212)
Pt (0.500, 0.500, 0.566)
Pt (0.000, 0.000, 0.346)
Pt (0.000, 0.000, 0.610)
Pt (0.000, 0.000, 0.698)

Results
Calculated total energy = -5.8903 eV/atom
Volume = 21.952 Å³/atom
ΔE_f = 165 meV per atom

=====

(5)
Entry from OQMD via LeMat-Bulk: a geometry-optimized K2Cu5Te5 structure (PBE).

Unit cell a=8.272 b=4.123 c=18.703 alpha=90.00 beta=90.00 gamma=104.43
Sites, in units of the cell vectors:
Te (0.844, 0.922, 0.750)
Te (0.607, 0.804, 0.333)
Te (0.254, 0.127, 0.480)
Te (0.607, 0.804, 0.167)
Te (0.254, 0.127, 0.020)
Te (0.156, 0.078, 0.250)
Te (0.746, 0.873, 0.980)
Te (0.746, 0.873, 0.520)
Te (0.393, 0.196, 0.833)
Te (0.393, 0.196, 0.667)
Cu (0.447, 0.723, 0.459)
Cu (0.447, 0.723, 0.041)
Cu (0.655, 0.327, 0.750)
Cu (0.398, 0.199, 0.352)
Cu (0.602, 0.801, 0.648)
Cu (0.345, 0.673, 0.250)
Cu (0.553, 0.277, 0.959)
Cu (0.553, 0.277, 0.541)
Cu (0.398, 0.199, 0.148)
Cu (0.602, 0.801, 0.852)
K (0.964, 0.482, 0.118)
K (0.964, 0.482, 0.382)
K (0.036, 0.518, 0.882)
K (0.036, 0.518, 0.618)

Results
Calculated total energy = -3.4053 eV/atom
Volume = 25.737 Å³/atom

=====

(6)
Entry from OQMD via LeMat-Bulk: a geometry-optimized GdErCd2 structure (PBE).

Unit cell a=3.717 b=3.717 c=7.527 alpha=90.00 beta=90.00 gamma=90.00
Sites, in units of the cell vectors:
Er (0.500, 0.500, 0.500)
Gd (0.500, 0.500, 0.000)
Cd (0.000, 0.000, 0.741)
Cd (0.000, 0.000, 0.259)

Results
Calculated total energy = -3.0783 eV/atom
Volume = 25.994 Å³/atom
ΔE_f = -326 meV per atom

=====

(7)
Entry from OQMD via LeMat-Bulk: a geometry-optimized ZnIn2Pd structure (PBE).

Unit cell a=4.832 b=4.832 c=4.832 alpha=60.00 beta=60.00 gamma=60.00
Sites, in units of the cell vectors:
In (0.000, 0.000, 0.000)
In (0.250, 0.250, 0.250)
Zn (0.500, 0.500, 0.500)
Pd (0.750, 0.750, 0.750)

Results
Calculated total energy = -3.0033 eV/atom
Volume = 19.946 Å³/atom

=====

(8)
Entry from OQMD via LeMat-Bulk: a geometry-optimized NaZrGaPt structure (PBE).

Unit cell a=4.605 b=4.605 c=4.605 alpha=60.00 beta=60.00 gamma=60.00
Sites, in units of the cell vectors:
Ga (0.500, 0.500, 0.500)
Zr (0.000, 0.000, 0.000)
Pt (0.250, 0.250, 0.250)
Na (0.750, 0.750, 0.750)

Results
Calculated total energy = -5.2391 eV/atom
Volume = 17.262 Å³/atom